No. 1
VASP calculation (PBE) on KGaCoSe2 after structural relaxation.

Computed properties:
Its formation energy (no corrections) is 1285 meV per atom. Its crystal system is tetragonal. The calculation puts the total DFT energy (no corrections) at -0.1731 Ry/atom. The value obtained for the density of states at the Fermi level is 5.3 states/eV per cell. Its space group is P4/mmm.

Structure (POSCAR):
```
KGaCoSe2
1.0
-3.259 1.005 4.600
1.364 -4.761 2.007
4.475 2.398 2.647
K Co Ga Se
1 1 1 2
direct
0.000 0.000 0.000
0.500 0.500 0.500
0.000 0.500 0.000
0.000 0.000 0.500
0.500 0.000 0.000
```


No. 2
VASP calculation (PBE) on TlMoRu3 after structural relaxation.

Computed properties:
Its crystal system is cubic. The calculation puts the total DFT energy (no corrections) at -0.4969 Ry/atom. The value obtained for the density of states at the Fermi level is 7.6 states/eV per cell. Its space group is Pm-3m.

Structure (POSCAR):
```
TlMoRu3
1.0
4.702 0.000 0.000
0.000 4.702 0.000
0.000 0.000 4.702
Ru Tl Mo
3 1 1
direct
0.000 0.500 0.000
0.000 0.000 0.500
0.500 0.000 0.000
0.500 0.500 0.500
0.000 0.000 0.000
```


No. 3
VASP calculation (PBE) on TiBi2Ir after structural relaxation.

Computed properties:
Its crystal system is tetragonal. The calculation puts the total DFT energy (no corrections) at -0.3983 Ry/atom. The value obtained for the density of states at the Fermi level is 14.3 states/eV per cell. Its space group is I-42d.

Structure (POSCAR):
```
TiBi2Ir
1.0
-1.528 -6.134 -0.098
2.345 -0.677 5.832
-5.194 -2.049 5.278
Ir Bi Ti
2 4 2
direct
0.000 0.000 0.000
0.750 0.250 0.500
0.645 0.125 0.250
0.105 0.625 0.250
0.375 0.355 0.750
0.875 0.895 0.750
0.500 0.500 0.000
0.250 0.750 0.500
```


No. 4
VASP calculation (PBE) on Tb4ErCo4 after structural relaxation.

Computed properties:
Its crystal system is tetragonal. The calculation puts the total DFT energy (no corrections) at -0.4251 Ry/atom. The value obtained for the density of states at the Fermi level is 10.8 states/eV per cell. Its space group is P4_2/n.

Structure (POSCAR):
```
Tb4ErCo4
1.0
5.603 0.000 0.000
0.000 8.384 0.000
0.000 0.000 8.384
Tb Er Co
8 2 8
direct
0.381 0.309 0.926
0.881 0.574 0.809
0.381 0.691 0.074
0.119 0.191 0.574
0.619 0.926 0.691
0.119 0.809 0.426
0.881 0.426 0.191
0.619 0.074 0.309
0.000 0.000 0.000
0.500 0.500 0.500
0.638 0.761 0.363
0.638 0.239 0.637
0.138 0.863 0.739
0.862 0.261 0.863
0.862 0.739 0.137
0.362 0.363 0.239
0.362 0.637 0.761
0.138 0.137 0.261
```


No. 5
VASP calculation (PBE) on Tb4Ho3Ga4 after structural relaxation.

Computed properties:
Its crystal system is orthorhombic. The calculation puts the total DFT energy (no corrections) at -0.3270 Ry/atom. The value obtained for the density of states at the Fermi level is 9.0 states/eV per cell. Its space group is Immm.

Structure (POSCAR):
```
Tb4Ho3Ga4
1.0
-2.920 -1.336 1.504
5.070 -5.749 4.737
-0.428 9.537 3.462
Tb Ho Ga
4 3 4
direct
0.334 0.151 0.669
0.666 0.482 0.331
0.666 0.849 0.331
0.334 0.518 0.669
0.095 0.095 0.190
0.905 0.905 0.810
0.000 0.500 0.000
0.273 0.773 0.546
0.727 0.227 0.454
0.500 0.777 0.000
0.500 0.223 0.000
```


No. 6
VASP calculation (PBE) on AcSm2Tl2 after structural relaxation.

Computed properties:
Its crystal system is monoclinic. The calculation puts the total DFT energy (no corrections) at -0.2832 Ry/atom. The value obtained for the density of states at the Fermi level is 9.4 states/eV per cell. Its space group is P2_1/m.

Structure (POSCAR):
```
AcSm2Tl2
1.0
6.965 2.145 -0.002
5.416 7.178 -0.004
3.475 1.072 8.666
Ac Sm Tl
2 4 4
direct
0.843 0.750 0.316
0.157 0.250 0.684
0.481 0.750 0.038
0.702 0.250 0.594
0.519 0.250 0.962
0.298 0.750 0.406
0.667 0.250 0.243
0.909 0.750 0.757
0.091 0.250 0.243
0.333 0.750 0.757
```


No. 7
VASP calculation (PBE) on NdSiBRu2 after structural relaxation.

Computed properties:
Its formation energy (no corrections) is -578 meV per atom. Its crystal system is orthorhombic. The calculation puts the total DFT energy (no corrections) at -0.5632 Ry/atom. The value obtained for the density of states at the Fermi level is 9.9 states/eV per cell. Its space group is Cmcm.

Structure (POSCAR):
```
NdSiBRu2
1.0
4.041 0.000 0.000
-2.020 5.581 0.000
0.000 0.000 7.210
Nd Si B Ru
2 2 2 4
direct
0.447 0.894 0.750
0.553 0.106 0.250
0.726 0.451 0.750
0.274 0.549 0.250
0.000 0.000 0.000
0.000 0.000 0.500
0.172 0.343 0.939
0.828 0.657 0.061
0.172 0.343 0.561
0.828 0.657 0.439
```


No. 8
VASP calculation (PBE) on Pa2MnNi4Ge3 after structural relaxation.

Computed properties:
Its crystal system is tetragonal. The calculation puts the total DFT energy (no corrections) at -0.5162 Ry/atom. The value obtained for the density of states at the Fermi level is 6.5 states/eV per cell. Its space group is P-4m2.

Structure (POSCAR):
```
Pa2MnNi4Ge3
1.0
-2.501 3.030 -0.924
-0.948 -1.839 -3.465
-7.306 -4.665 4.475
Pa Mn Ni Ge
2 1 4 3
direct
0.500 0.000 0.248
0.000 0.500 0.752
0.500 0.500 0.500
0.500 0.500 0.000
0.000 0.000 0.000
0.500 0.000 0.635
0.000 0.500 0.365
0.000 0.000 0.500
0.500 0.000 0.872
0.000 0.500 0.128
```


No. 9
VASP calculation (PBE) on RbTeH after structural relaxation.

Computed properties:
Its crystal system is monoclinic. The calculation puts the total DFT energy (no corrections) at -0.1825 Ry/atom. The value obtained for the density of states at the Fermi level is 4.3 states/eV per cell. Its space group is C2/m.

Structure (POSCAR):
```
RbTeH
1.0
-3.828 1.411 3.190
4.269 -2.021 1.812
2.662 9.280 -0.909
H Te Rb
2 2 2
direct
0.800 0.600 0.868
0.200 0.400 0.132
0.708 0.416 0.541
0.292 0.584 0.459
0.876 0.752 0.172
0.124 0.248 0.828
```


No. 10
VASP calculation (PBE) on GaCo2I after structural relaxation.

Computed properties:
Its formation energy (no corrections) is 566 meV per atom. Its crystal system is tetragonal. The calculation puts the total DFT energy (no corrections) at -0.3037 Ry/atom. The value obtained for the density of states at the Fermi level is 9.4 states/eV per cell. Its space group is I-42d.

Structure (POSCAR):
```
GaCo2I
1.0
4.425 0.000 0.000
0.000 4.425 0.000
2.213 2.213 8.236
I Co Ga
2 4 2
direct
0.000 0.000 0.000
0.750 0.250 0.500
0.493 0.125 0.250
0.257 0.625 0.250
0.375 0.507 0.750
0.875 0.743 0.750
0.500 0.500 0.000
0.250 0.750 0.500
```


No. 11
VASP calculation (PBE) on BaTl2PdCl8 after structural relaxation.

Computed properties:
Its formation energy (no corrections) is -1086 meV per atom. Its crystal system is trigonal. The calculation puts the total DFT energy (no corrections) at -0.2428 Ry/atom. Its space group is P-3m1.

Structure (POSCAR):
```
BaTl2PdCl8
1.0
-4.446 5.213 0.699
-0.802 -5.734 3.731
4.683 3.200 5.925
Ba Tl Pd Cl
1 2 1 8
direct
0.000 0.000 0.500
0.667 0.333 0.166
0.333 0.667 0.834
0.000 0.000 0.000
0.842 0.685 0.823
0.315 0.158 0.823
0.842 0.158 0.823
0.158 0.315 0.177
0.685 0.842 0.177
0.158 0.842 0.177
0.667 0.333 0.515
0.333 0.667 0.485
```


No. 12
VASP calculation (PBE) on OsSe2Cl after structural relaxation.

Computed properties:
Its formation energy (no corrections) is 1172 meV per atom. Its crystal system is tetragonal. The calculation puts the total DFT energy (no corrections) at -0.2822 Ry/atom. The value obtained for the density of states at the Fermi level is 2.1 states/eV per cell. Its space group is P4/mmm.

Structure (POSCAR):
```
OsSe2Cl
1.0
-3.604 1.214 -2.784
0.620 -3.147 -2.176
-2.419 -2.030 2.247
Cl Os Se
1 1 2
direct
0.500 0.500 0.000
0.500 0.000 0.500
0.000 0.000 0.000
0.000 0.500 0.500
```